Entry i
CsFePt: optimized geometry, GGA-PBE.

Geometry as extended XYZ:
```
3
Lattice="2.8243 3.2295 1.9860 -1.6644 2.8176 3.4120 1.4681 -0.5653 4.4582" Properties=species:S:1:pos:R:3 pbc="T T T"
Pt 1.9710 4.1113 7.3921
Cs 0.6570 1.3704 2.4640
Fe 0.0000 0.0000 0.0000
```

As for the symmetry: F-43m.

***

Entry ii
CsFePt: optimized geometry, GGA-PBE.

Geometry as extended XYZ:
```
3
Lattice="-0.3069 1.1740 4.8030 -1.9233 4.3558 1.3672 -4.4195 0.1650 2.2320" Properties=species:S:1:pos:R:3 pbc="T T T"
Fe -4.9873 4.2711 6.3017
Pt 0.0000 0.0000 0.0000
Cs -1.6624 1.4237 2.1005
```

As for the symmetry: F-43m.

***

Name the most stable of them. entry i.